[1]
K3RbC after structural relaxation. Source: Alexandria via LeMat-Bulk, functional PBE.

Summary:
space group: Pm-3m
energy above the lowest structure with this stoichiometry: 873 meV/atom
size of the total moment: 0.00 μB per cell
VASP energy: -0.87 eV/atom

Geometry as POSCAR:
```
K3RbC
1.0
7.476 0.000 0.000
0.000 7.476 0.000
0.000 0.000 7.476
K Rb C
3 1 1
Direct
0.000 0.000 0.500
0.000 0.500 0.000
0.500 0.000 0.000
0.000 0.000 0.000
0.500 0.500 0.500
```


[2]
BiPdBr2 after structural relaxation. Source: Alexandria via LeMat-Bulk, functional PBE.

Summary:
formation energy from raw total energies: 101 meV/atom
space group: Fm-3m
energy above the lowest structure with this stoichiometry: 169 meV/atom
size of the total moment: 0.00 μB per cell
VASP energy: -3.00 eV/atom

Geometry as POSCAR:
```
BiPdBr2
1.0
0.000 3.633 3.633
3.633 0.000 3.633
3.633 3.633 0.000
Bi Pd Br
1 1 2
Direct
0.000 0.000 0.000
0.500 0.500 0.500
0.250 0.250 0.250
0.750 0.750 0.750
```


[3]
LiMnPt2 after structural relaxation. Source: Alexandria via LeMat-Bulk, functional PBE.

Summary:
space group: I-42d
energy above the lowest structure with this stoichiometry: 754 meV/atom
size of the total moment: 0.00 μB per cell
VASP energy: -5.53 eV/atom

Geometry as POSCAR:
```
LiMnPt2
1.0
-3.414 3.414 2.633
3.414 -3.414 2.633
3.414 3.414 -2.633
Li Mn Pt
2 2 4
Direct
0.000 0.000 0.000
0.750 0.250 0.500
0.250 0.750 0.500
0.500 0.500 0.000
0.153 0.625 0.028
0.375 0.403 0.528
0.597 0.125 0.972
0.875 0.847 0.472
```


[4]
LaPm7Er12 after structural relaxation. Source: Alexandria via LeMat-Bulk, functional PBE.

Summary:
space group: R-3
energy above the lowest structure with this stoichiometry: 0 meV/atom
size of the total moment: 0.00 μB per cell
VASP energy: -4.42 eV/atom

Geometry as POSCAR:
```
LaPm7Er12
1.0
6.103 3.523 5.135
-6.103 3.523 5.135
0.000 -7.047 5.135
La Pm Er
1 7 12
Direct
0.000 0.000 0.000
0.001 0.639 0.122
0.122 0.001 0.639
0.361 0.878 0.999
0.500 0.500 0.500
0.639 0.122 0.001
0.878 0.999 0.361
0.999 0.361 0.878
0.116 0.347 0.445
0.223 0.633 0.760
0.240 0.777 0.367
0.347 0.445 0.116
0.367 0.240 0.777
0.445 0.116 0.347
0.555 0.884 0.653
0.633 0.760 0.223
0.653 0.555 0.884
0.760 0.223 0.633
0.777 0.367 0.240
0.884 0.653 0.555
```


[5]
Pr5Nd4Tm after structural relaxation. Source: Alexandria via LeMat-Bulk, functional PBE.

Summary:
space group: P-1
energy above the lowest structure with this stoichiometry: 0 meV/atom
size of the total moment: 0.00 μB per cell
VASP energy: -4.73 eV/atom

Geometry as POSCAR:
```
Pr5Nd4Tm
1.0
3.678 0.000 0.000
1.831 9.550 0.000
0.011 2.842 10.025
Pr Nd Tm
5 4 1
Direct
0.000 0.000 0.000
0.199 0.600 0.100
0.401 0.197 0.696
0.599 0.803 0.304
0.801 0.400 0.900
0.199 0.601 0.600
0.402 0.198 0.205
0.598 0.802 0.795
0.801 0.399 0.400
0.000 0.000 0.500
```


[6]
Sr3CaBe after structural relaxation. Source: Alexandria via LeMat-Bulk, functional PBE.

Summary:
space group: Pm-3m
energy above the lowest structure with this stoichiometry: 0 meV/atom
size of the total moment: 0.01 μB per cell
VASP energy: -1.86 eV/atom

Geometry as POSCAR:
```
Sr3CaBe
1.0
6.100 0.000 0.000
0.000 6.100 0.000
0.000 0.000 6.100
Sr Ca Be
3 1 1
Direct
0.000 0.000 0.500
0.000 0.500 0.000
0.500 0.000 0.000
0.500 0.500 0.500
0.000 0.000 0.000
```


Question: Look up the size of the total moment of the first one.
Answer: 0.00 μB per cell